1.
Density functional theory data (PBE) for crystalline NiAsW2 at its relaxed geometry.

Calculated values
M_tot: 0.00 μB per formula unit
symmetry: F-43m, No. 216
uncorrected energy: -8.59 eV per atom

The structure in POSCAR format:
```
NiAsW2
1.0
0.000 3.102 3.102
3.102 0.000 3.102
3.102 3.102 0.000
Ni As W
1 1 2
direct
0.000 0.000 0.000 Ni
0.750 0.750 0.750 As
0.250 0.250 0.250 W
0.500 0.500 0.500 W
```

***

2.
Density functional theory data (PBE) for crystalline CaAg2Pd2 at its relaxed geometry.

Calculated values
M_tot: 0.00 μB per formula unit
symmetry: P4/mbm, No. 127
uncorrected energy: -3.86 eV per atom
polymorph energy (0 for the lowest one): 17 meV/atom

The structure in POSCAR format:
```
CaAg2Pd2
1.0
7.800 0.000 0.000
0.000 7.800 0.000
0.000 0.000 3.161
Ca Ag Pd
2 4 4
direct
0.000 0.000 0.000 Ca
0.500 0.500 0.000 Ca
0.127 0.373 0.000 Ag
0.373 0.873 0.000 Ag
0.627 0.127 0.000 Ag
0.873 0.627 0.000 Ag
0.170 0.670 0.500 Pd
0.330 0.170 0.500 Pd
0.670 0.830 0.500 Pd
0.830 0.330 0.500 Pd
```

***

3.
Density functional theory data (PBE) for crystalline UHgS2O8 at its relaxed geometry.

Calculated values
M_tot: 2.00 μB per formula unit
symmetry: P-3m1, No. 164
uncorrected energy: -6.59 eV per atom
formation energy from raw total energies: -1.635 eV/atom

The structure in POSCAR format:
```
UHgS2O8
1.0
5.730 0.000 0.000
-2.865 4.962 0.000
0.000 0.000 8.583
U Hg S O
1 1 2 8
direct
0.000 0.000 0.000 U
0.000 0.000 0.500 Hg
0.333 0.667 0.795 S
0.667 0.333 0.205 S
0.193 0.385 0.863 O
0.193 0.807 0.863 O
0.333 0.667 0.629 O
0.385 0.193 0.137 O
0.615 0.807 0.863 O
0.667 0.333 0.371 O
0.807 0.193 0.137 O
0.807 0.615 0.137 O
```

***

- The highest M_tot belongs to which entry?
  UHgS2O8

***

- Look up the uncorrected energy of the first one.
  -8.59 eV per atom

***

- Which value of M_tot does entry 3 give?
  2.00 μB per formula unit

***

- The lowest uncorrected energy belongs to which entry?
  NiAsW2